(1)
DFT (PBE) results for crystalline TmTh7 at its relaxed geometry.

The formation energy comes out at 0.1 eV/f.u. As for the crystal system: cubic. The spin magnetization is 0.0000 μB/atom. The value obtained for the total DFT energy (no corrections) is -7.033 eV per atom.

The space group is Fm-3m (No. 225) and the conventional cell measures 10.0605, 10.0605 and 10.0605 Å, with angles of 90.00, 90.00 and 90.00 degrees. Symmetry generates all atoms from Tm at (0.0000, 0.0000, 0.0000), Th at (0.0000, 0.0000, 0.5000) and Th at (0.0000, 0.2500, 0.2500).

***

(2)
DFT (PBE) results for crystalline ErHg4 at its relaxed geometry.

For the polymorph energy (0 for the lowest one), the calculation gives 44.3 kJ/mol of atoms. The formation energy comes out at 1.3 eV/f.u. As for the crystal system: cubic. The spin magnetization is 0.0000 μB/atom. The value obtained for the total DFT energy (no corrections) is -0.884 eV per atom.

The space group is Pm-3m (No. 221) and the conventional cell measures 5.9707, 5.9707 and 5.9707 Å, with angles of 90.00, 90.00 and 90.00 degrees. Symmetry generates all atoms from Er at (0.0000, 0.0000, 0.0000), Hg at (0.0000, 0.0000, 0.5000) and Hg at (0.5000, 0.5000, 0.5000).